1.
Pr4Y2Tl3H2: optimized geometry, PBE.

For the total moment, the calculation gives 0.0 μB/cell. As for the final energy: -48.8 eV per cell. The density of states at the Fermi level is 9.3 states/eV per cell. The density is 7.497 g/cm³.

a b c (Å): 4.8556 4.8556 13.1984
angles (deg): 100.60 100.60 90.00
Closest atoms and distances in Å follow each position.
Sites, in units of the cell vectors:
H 0.6097 0.6097 0.2195  1 Y 2.32, 4 Pr 2.50
H 0.3903 0.3903 0.7805  1 Y 2.32, 4 Pr 2.50
Y 0.7009 0.7009 0.4017  1 H 2.32
Y 0.2991 0.2991 0.5983  1 H 2.32
Tl 0.8226 0.8226 0.6452  1 Y 3.10, 4 Pr 3.34
Tl 0.1774 0.1774 0.3548  1 Y 3.10, 4 Pr 3.34
Tl 0.0000 0.0000 0.0000  8 Pr 3.29
Pr 0.9129 0.4129 0.8257  2 H 2.50
Pr 0.0871 0.5871 0.1743  2 H 2.50
Pr 0.4129 0.9129 0.8257  2 H 2.50
Pr 0.5871 0.0871 0.1743  2 H 2.50

=====

2.
Dy2ThCu: optimized geometry, PBE.

For the total moment, the calculation gives 0.0 μB/cell. The density of states at the Fermi level is 5.4 states/eV per cell. As for the formation energy: 38 meV/atom. The density is 9.404 g/cm³. For the relative energy among the computed polymorphs, the calculation gives 0.1304 eV/atom.

a b c (Å): 3.5933 3.5933 10.0168
angles (deg): 79.67 79.67 60.00
Closest atoms and distances in Å follow each position.
Sites, in units of the cell vectors:
Th 0.5000 0.5000 0.5000  6 Dy 3.55, 6 Th 3.59
Dy 0.7352 0.7352 0.7943  3 Cu 2.89
Dy 0.2648 0.2648 0.2057  3 Cu 2.89
Cu 0.0000 0.0000 0.0000  6 Dy 2.89